Material: BaAgSb
Method: DFT, PBE
State: relaxed

density = 5.83 g/cm³
symmetry = No. 63
raw formation energy = -0.626 eV per atom
V = 34.9 A^3/atom

abc: 6.9947 5.5435 6.9027
angles: 128.60 89.99 90.01
Last column: nearest neighbours and their distance in Å.
Atoms (fractional coordinates):
Ba1 0.7938 0.6121 0.1757  2 Ag 3.48, 5 Sb 3.54-3.62
Ag1 0.5441 0.9169 0.8281  2 Sb 2.72
Sb1 0.7938 0.4343 0.5866  2 Ag 2.72
Ba2 0.2938 0.2214 0.4804  2 Ag 3.48, 5 Sb 3.53-3.62
Sb2 0.2938 0.3988 0.0694  2 Ag 2.72
Ag2 0.0437 0.9168 0.8285  2 Sb 2.72